Compound: Y3Er2Cd2
Source: Alexandria
Functional: PBE-GGA
Structure: relaxed

a b c (Å): 5.065 3.470 11.612
angles (deg): 90.00 77.40 90.00
Element x y z (fractional)
Y  0.148  0.000  0.705
Y  0.000  0.000  0.000
Y  0.852  0.000  0.295
Cd  0.569  0.500  0.862
Cd  0.431  0.500  0.138
Er  0.711  0.500  0.579
Er  0.289  0.500  0.421

For the magnetization, the calculation gives 0.0 Bohr magnetons per cell. Its total energy is -4.40 eV per atom.